# Pm3Nd7Ho2, relaxed, DFT GGA-PBE
# Raw total energy: -55.72 eV for the cell shown
# Offset from the most stable computed form: 0 meV/atom
# Volume: 416.0 Å³/f.u.
data_Pm3Nd7Ho2
_space_group_name_H-M_alt 'P 1 2/m 1'
_space_group_IT_number 10
_space_group_name_Hall '-P 2y'
_cell_length_a 5.963
_cell_length_b 3.629
_cell_length_c 19.255
_cell_angle_alpha 90.00
_cell_angle_beta 93.24
_cell_angle_gamma 90.00
loop_
_atom_site_label
_atom_site_fract_x
_atom_site_fract_y
_atom_site_fract_z
Pm1 0.000 0.000 0.000
Pm2 0.283 0.500 0.634
Nd1 0.182 0.500 0.146
Nd2 0.243 0.000 0.465
Nd3 0.316 0.000 0.818
Nd4 0.500 0.500 0.000
Ho1 0.208 0.000 0.296